The following is a PBE calculation of a relaxed structure of Pr8Ir2Pt, from Alexandria.

Cell lengths 6.510, 7.719, 7.719 Å; angles 112.14, 100.64, 100.64 degrees
Positions (direct):
Pr 0.596 0.349 0.082
Pr 0.596 0.082 0.349
Pr 0.183 0.363 0.363
Pr 0.979 0.205 0.791
Pr 0.979 0.791 0.205
Pr 0.787 0.648 0.648
Pr 0.359 0.923 0.652
Pr 0.359 0.652 0.923
Ir 0.488 0.689 0.320
Ir 0.488 0.320 0.689
Pt 0.186 0.012 0.012

Values from the calculation:
calculated volume = 30.83 Å³ per atom
final energy = -6.0393 eV per atom
E_form = -38.9 kJ per mole of atoms

=====

The following is a PBE calculation of a relaxed structure of Pr2Si4IrPt3, from Alexandria.

Cell lengths 4.219, 4.219, 10.058 Å; angles 90.00, 90.00, 90.00 degrees
Positions (direct):
Pr 0.500 0.000 0.245
Pr 0.000 0.500 0.755
Si 0.500 0.500 0.000
Si 0.000 0.000 0.000
Si 0.500 0.000 0.632
Si 0.000 0.500 0.368
Ir 0.500 0.500 0.500
Pt 0.000 0.000 0.500
Pt 0.500 0.000 0.878
Pt 0.000 0.500 0.122

Values from the calculation:
calculated volume = 17.90 Å³ per atom
final energy = -6.9103 eV per atom